(1)
A plane-wave DFT calculation with PBE was carried out for a relaxed structure of Cs2U2TiS6.

a = 6.7321 Å, b = 11.5565 Å, c = 8.6051 Å
α = 90.00°, β = 105.15°, γ = 90.00°
With the nearest neighbours (Å) after each atom.
Space group C2/m (No. 12)
Asymmetric unit:
Cs: 0.0000 0.1679 0.0000  6 S 3.47-3.56, 3 Cs 3.86-3.88
U: 0.0000 0.3334 0.5000  6 S 2.72
Ti: 0.0000 0.0000 0.5000  6 S 2.56-2.57
S: 0.2180 0.1577 0.6758  1 Ti 2.57, 2 U 2.72
S: 0.2445 0.5000 0.6749  1 Ti 2.56, 2 U 2.72

Properties
D(E_F): 20.243 states/eV per cell
Energy relative to the elements, uncorrected: -1398 meV per atom

(2)
A plane-wave DFT calculation with PBE was carried out for a relaxed structure of Tb12SbRh6.

a = 9.9411 Å, b = 9.9411 Å, c = 9.9411 Å
α = 90.00°, β = 90.00°, γ = 90.00°
With the nearest neighbours (Å) after each atom.
Space group Im-3 (No. 204)
Asymmetric unit:
Tb: 0.0000 0.1897 0.3028  1 Rh 2.65
Sb: 0.0000 0.0000 0.0000  12 Tb 3.55
Rh: 0.0000 0.3688 0.5000  1 Rh 2.61, 2 Tb 2.65

Properties
D(E_F): 25.628 states/eV per cell
Energy relative to the elements, uncorrected: -654 meV per atom

(3)
A plane-wave DFT calculation with PBE was carried out for a relaxed structure of Ac3HIrPt.

a = 8.8709 Å, b = 4.2036 Å, c = 9.2134 Å
α = 90.00°, β = 101.94°, γ = 90.00°
With the nearest neighbours (Å) after each atom.
Space group P2_1/m (No. 11)
Asymmetric unit:
Ac: 0.0779 0.2500 0.3368  3 Ir 3.02, 2 Pt 3.20
Ac: 0.2919 0.2500 0.9915  3 H 2.48-2.53
Ac: 0.3978 0.7500 0.6426  1 H 2.59
H: 0.4234 0.7500 0.9281  4 Ac 2.48-2.59, 2 H 2.70
Ir: 0.1683 0.2500 0.6711  6 Ac 2.93-3.02
Pt: 0.3276 0.7500 0.2714  7 Ac 3.19-3.35, 1 H 3.44

Properties
E_tot: -0.2149 hartree per atom
D(E_F): 6.929 states/eV per cell

(4)
A plane-wave DFT calculation with PBE was carried out for a relaxed structure of SrAsPb3.

a = 5.6752 Å, b = 5.6752 Å, c = 5.6752 Å
α = 90.00°, β = 90.00°, γ = 90.00°
With the nearest neighbours (Å) after each atom.
Space group Pm-3m (No. 221)
Asymmetric unit:
Sr: 0.0000 0.0000 0.0000  12 Pb 4.01
As: 0.5000 0.5000 0.5000  6 Pb 2.84
Pb: 0.0000 0.5000 0.5000  2 As 2.84

Properties
D(E_F): 3.557 states/eV per cell
Energy of formation: 0.4 eV per formula unit

(5)
A plane-wave DFT calculation with PBE was carried out for a relaxed structure of Mn3BePt.

a = 3.8630 Å, b = 3.8630 Å, c = 3.8630 Å
α = 90.00°, β = 90.00°, γ = 90.00°
With the nearest neighbours (Å) after each atom.
Space group Pm-3m (No. 221)
Asymmetric unit:
Mn: 0.0000 0.0000 0.5000  2 Be 1.93
Be: 0.0000 0.0000 0.0000  6 Mn 1.93
Pt: 0.5000 0.5000 0.5000  12 Mn 2.73

Properties
Relative energy among the computed polymorphs: 0 meV per atom
D(E_F): 10.069 states/eV per cell
Energy of formation: 2.8 eV per formula unit

(6)
A plane-wave DFT calculation with PBE was carried out for a relaxed structure of Zn12Ni2Au5.

a = 13.4671 Å, b = 5.3494 Å, c = 9.1884 Å
α = 90.00°, β = 94.02°, γ = 90.00°
With the nearest neighbours (Å) after each atom.
Space group C2/m (No. 12)
Asymmetric unit:
Zn: 0.0108 0.0000 0.2576  2 Ni 2.58, 2 Au 2.60-2.61, 6 Zn 2.71-2.89
Zn: 0.0161 0.5000 0.7159  2 Ni 2.42, 1 Au 2.63, 2 Zn 2.71
Zn: 0.1532 0.2467 0.9029  4 Zn 2.64-2.89, 4 Au 2.64-2.71
Zn: 0.1660 0.2604 0.3972  1 Ni 2.49, 3 Zn 2.56-2.79, 3 Au 2.64-2.69
Ni: 0.0000 0.2387 0.5000  6 Zn 2.42-2.58, 1 Ni 2.55
Au: 0.0000 0.5000 0.0000  6 Zn 2.63-2.67
Au: 0.1676 0.0000 0.6475  7 Zn 2.61-2.71, 2 Ni 2.85
Au: 0.1844 0.0000 0.1509  7 Zn 2.60-2.68

Properties
D(E_F): 12.059 states/eV per cell
Energy of formation: -1.5 eV per formula unit